[1]
Below is an optimized crystal structure of K2ScSi, with properties calculated at the PBE-GGA level.

Geometry as POSCAR:
```
K2ScSi
1.0
-2.7063 2.7063 3.8233
2.7063 -2.7063 3.8233
2.7063 2.7063 -3.8233
K Sc Si
2 1 1
Cartesian
0.0000 0.0000 0.0000
0.0000 2.7063 1.9117
0.0000 0.0000 3.8233
2.7063 0.0000 1.9117
```

SG: I-4m2 (119)
Calculated volume, Å³/atom: 28.002
Magnetization, μB per formula unit: 0.99
Total energy, eV/atom: -3.028

[2]
Below is an optimized crystal structure of KScSi, with properties calculated at the PBE-GGA level.

Geometry as POSCAR:
```
KScSi
1.0
0.0000 3.4413 3.4413
3.4413 0.0000 3.4413
3.4413 3.4413 0.0000
K Sc Si
1 1 1
Cartesian
0.0000 0.0000 0.0000
1.7206 1.7206 1.7206
5.1619 5.1619 5.1619
```

SG: F-43m (216)
Calculated volume, Å³/atom: 27.169
Magnetization, μB per formula unit: 0.00
Total energy, eV/atom: -3.268

[3]
Below is an optimized crystal structure of KScSi, with properties calculated at the PBE-GGA level.

Geometry as POSCAR:
```
KScSi
1.0
4.0643 0.0000 0.0000
2.0307 4.6823 0.0000
1.8605 0.6204 11.1532
K Sc Si
2 2 2
Cartesian
2.0347 1.4021 3.6530
5.9207 3.9006 7.5002
3.8919 1.8937 10.3708
4.0636 3.4090 0.7824
3.8910 4.6742 10.1206
4.0644 0.6285 1.0326
```

SG: P-1 (2)
Calculated volume, Å³/atom: 35.375
Magnetization, μB per formula unit: 0.44
Total energy, eV/atom: -4.467

[4]
Below is an optimized crystal structure of K2ScSi, with properties calculated at the PBE-GGA level.

Geometry as POSCAR:
```
K2ScSi
1.0
-2.1942 3.0814 5.6819
2.1942 -3.0814 5.6819
2.1942 3.0814 -5.6819
K Sc Si
2 1 1
Cartesian
0.0000 0.0000 0.0000
0.0000 3.0814 2.1478
2.1942 0.0000 3.6450
0.0000 0.0000 5.0030
```

SG: Imm2 (44)
Calculated volume, Å³/atom: 38.417
Magnetization, μB per formula unit: 0.68
Total energy, eV/atom: -3.205

[5]
Below is an optimized crystal structure of KScSi, with properties calculated at the PBE-GGA level.

Geometry as POSCAR:
```
KScSi
1.0
4.8713 0.0000 0.0000
0.0000 4.8724 0.0000
-0.0072 0.0000 7.5731
K Sc Si
2 2 2
Cartesian
1.2138 1.2181 0.9763
3.6504 3.6543 6.5968
1.2142 3.6543 3.7864
3.6499 1.2181 3.7867
1.2149 1.2181 5.0359
3.6492 3.6543 2.5372
```

SG: P2_1/m (11)
Calculated volume, Å³/atom: 29.958
Magnetization, μB per formula unit: 0.00
Total energy, eV/atom: -4.565

[6]
Below is an optimized crystal structure of KSc2Si, with properties calculated at the PBE-GGA level.

Geometry as POSCAR:
```
KSc2Si
1.0
4.6603 0.0000 0.0000
0.0000 4.6603 0.0000
0.0000 0.0000 4.3007
K Sc Si
1 2 1
Cartesian
0.0000 0.0000 0.0000
0.0000 2.3301 2.1504
2.3301 0.0000 2.1504
2.3301 2.3301 0.0000
```

SG: P4/mmm (123)
Calculated volume, Å³/atom: 23.351
Magnetization, μB per formula unit: 0.64
Total energy, eV/atom: -4.481

[7]
Below is an optimized crystal structure of K2ScSi, with properties calculated at the PBE-GGA level.

Geometry as POSCAR:
```
K2ScSi
1.0
-6.2972 6.2972 2.5879
6.2972 -6.2972 2.5879
6.2972 6.2972 -2.5879
K Sc Si
4 2 2
Cartesian
1.0957 3.1486 0.6470
-3.1486 5.2014 1.9409
-1.0957 9.4457 0.6470
3.1486 7.3929 1.9409
6.2972 0.0000 1.2940
0.0000 0.0000 2.5879
0.0000 0.0000 0.0000
0.0000 6.2972 1.2940
```

SG: I-42d (122)
Calculated volume, Å³/atom: 51.311
Magnetization, μB per formula unit: 0.80
Total energy, eV/atom: -3.097

[8]
Below is an optimized crystal structure of K2SmScTe4, with properties calculated at the PBE-GGA level.

Geometry as POSCAR:
```
K2SmScTe4
1.0
7.7048 0.0000 0.0000
0.0000 4.4434 0.0000
-2.5613 0.0000 8.2294
K Sm Sc Te
2 1 1 4
Cartesian
0.0000 0.0000 0.0000
3.8524 2.2217 0.0000
-1.2806 2.2217 4.1147
2.5718 0.0000 4.1147
0.1174 0.0000 5.8320
1.3942 2.2217 2.4607
3.7494 2.2217 5.7687
5.0261 0.0000 2.3974
```

SG: P2/m (10)
Calculated volume, Å³/atom: 35.217
Magnetization, μB per formula unit: 0.00
Total energy, eV/atom: -4.548